Record 1
Entry from Alexandria via LeMat-Bulk: crystalline Rb2TbHoS4 at its relaxed geometry (PBE). Values from VASP.

The structure in Quantum ESPRESSO input format:
```
&SYSTEM
  ibrav = 0, nat = 8, ntyp = 4
/
ATOMIC_SPECIES
Rb 85.47 Rb.upf
S 32.06 S.upf
Tb 158.93 Tb.upf
Ho 164.93 Ho.upf
CELL_PARAMETERS angstrom
4.080 0.000 0.000
0.000 7.067 0.121
0.000 -2.484 7.647
ATOMIC_POSITIONS crystal
Rb 0.500 0.000 0.500
Rb 0.000 0.500 0.500
S 0.000 0.733 0.192
S 0.500 0.772 0.809
S 0.000 0.267 0.808
S 0.500 0.228 0.191
Tb 0.500 0.500 0.000
Ho 0.000 0.000 0.000
```

Values from the calculation:
Raw formation energy (eV/f.u.): -14.839
Space-group type: No. 10

***

Record 2
Entry from Alexandria via LeMat-Bulk: crystalline YOsAu3 at its relaxed geometry (PBE). Values from VASP.

The structure in Quantum ESPRESSO input format:
```
&SYSTEM
  ibrav = 0, nat = 5, ntyp = 3
/
ATOMIC_SPECIES
Au 196.97 Au.upf
Os 190.23 Os.upf
Y 88.91 Y.upf
CELL_PARAMETERS angstrom
5.313 0.000 0.000
0.000 5.313 0.000
0.000 0.000 5.313
ATOMIC_POSITIONS crystal
Au 0.000 0.000 0.500
Au 0.500 0.000 0.000
Au 0.000 0.500 0.000
Os 0.500 0.500 0.500
Y 0.000 0.000 0.000
```

Values from the calculation:
Polymorph energy (0 for the lowest one) (meV per atom): 1079
Calculated formation energy (kJ/mol of atoms): 157.4
Space-group type: No. 221

***

Record 3
Entry from Alexandria via LeMat-Bulk: crystalline La2ThSn at its relaxed geometry (PBE). Values from VASP.

The structure in Quantum ESPRESSO input format:
```
&SYSTEM
  ibrav = 0, nat = 4, ntyp = 3
/
ATOMIC_SPECIES
La 138.91 La.upf
Th 232.04 Th.upf
Sn 118.71 Sn.upf
CELL_PARAMETERS angstrom
-0.589 4.101 2.838
-4.916 -0.802 0.139
0.567 -2.762 4.109
ATOMIC_POSITIONS crystal
La 0.000 0.000 0.500
La 0.000 0.500 0.000
Th 0.500 0.500 0.500
Sn 0.500 0.000 0.000
```

Values from the calculation:
Polymorph energy (0 for the lowest one) (meV per atom): 0
Calculated formation energy (kJ/mol of atoms): -38.7
Space-group type: No. 123